! Pu2TcRh (PBE, relaxed); values from VASP
! energy = -47.10 eV for the cell shown
! spin magnetization = 2.19 μB per atom
! SG = No. 123
! calculated formation energy = -180 meV per atom
! ρ = 14.6 Mg/m³
&SYSTEM
  ibrav = 0, nat = 4, ntyp = 3
/
ATOMIC_SPECIES
Rh 102.91 Rh.upf
Tc 98.00 Tc.upf
Pu 244.00 Pu.upf
ATOMIC_POSITIONS angstrom
Rh -4.006 0.878 0.292
Tc -1.777 -1.565 0.546
Pu -3.337 3.658 -0.380
Pu -1.120 1.228 -0.128
CELL_PARAMETERS angstrom
-2.059 -2.067 -1.815
-1.495 -1.062 2.906
-4.457 4.886 -0.508